1.
First-principles (PBE) data for crystalline LiRe2Se at its relaxed geometry, as listed in Alexandria via LeMat-Bulk.

Its uncorrected formation energy is 0.66 eV/atom. The crystal system is tetragonal. The calculation puts the total magnetic moment at 0.00 Bohr magnetons per cell.

The space group is P4/mmm (No. 123) and the conventional cell measures 3.173, 3.173 and 5.678 Å, with angles of 90.00, 90.00 and 90.00 degrees. The asymmetric unit holds Li at (0.000, 0.000, 0.000), Re at (0.500, 0.500, 0.213) and Se at (0.000, 0.000, 0.500).

***

2.
First-principles (PBE) data for crystalline CsNaCaCl4 at its relaxed geometry, as listed in Alexandria via LeMat-Bulk.

Its uncorrected formation energy is -2.03 eV/atom. The crystal system is monoclinic. The calculation puts the total magnetic moment at 0.00 Bohr magnetons per cell.

The space group is P2_1/m (No. 11) and the conventional cell measures 7.665, 7.265 and 9.387 Å, with angles of 90.00, 104.11 and 90.00 degrees. The asymmetric unit holds Cs at (0.244, 0.250, 0.035), Na at (0.136, 0.250, 0.515), Ca at (0.282, 0.750, 0.340), Cl at (0.010, 0.511, 0.302), Cl at (0.370, 0.750, 0.095) and Cl at (0.450, 0.250, 0.423).

***

3.
First-principles (PBE) data for crystalline MnCuP at its relaxed geometry, as listed in Alexandria via LeMat-Bulk.

The crystal system is cubic. Its formation energy from the elements is -122 meV/atom. The calculation puts the total magnetic moment at 1.65 Bohr magnetons per cell. The calculation puts the energy above the lowest structure with this stoichiometry at 171 meV per atom.

The space group is F-43m (No. 216) and the conventional cell measures 5.330, 5.330 and 5.330 Å, with angles of 90.00, 90.00 and 90.00 degrees. The asymmetric unit holds Mn at (0.000, 0.000, 0.000), Cu at (0.000, 0.000, 0.500) and P at (0.250, 0.250, 0.250).

***

4.
First-principles (PBE) data for crystalline TmSn3Pd at its relaxed geometry, as listed in Alexandria via LeMat-Bulk.

The crystal system is orthorhombic. Its formation energy from the elements is -316 meV/atom. The calculation puts the total magnetic moment at 0.00 Bohr magnetons per cell.

The space group is Ama2 (No. 40) and the conventional cell measures 5.162, 15.981 and 6.099 Å, with angles of 90.00, 90.00 and 90.00 degrees. The asymmetric unit holds Tm at (0.250, 0.216, 0.000), Sn at (0.250, 0.039, 0.171), Sn at (0.250, 0.178, 0.511), Sn at (0.250, 0.414, 0.219) and Pd at (0.250, 0.356, 0.665).

***

Number 1: total DFT energy (no corrections) -0.50787 Ry per atom, density of states at the Fermi level 2.6 states/eV/f.u.. Number 2: total DFT energy (no corrections) -0.27029 Ry per atom, density of states at the Fermi level 0.0 states/eV/f.u.. Number 3: total DFT energy (no corrections) -0.46648 Ry per atom, density of states at the Fermi level 2.8 states/eV/f.u.. Number 4: total DFT energy (no corrections) -0.34179 Ry per atom, density of states at the Fermi level 2.2 states/eV/f.u..